Record 1
Crystalline Ta3Mo2Au at its relaxed geometry. Source: Alexandria via LeMat-Bulk, functional PBE.

```
data_Ta3Mo2Au
_symmetry_space_group_name_H-M 'P 4/m m m'
_symmetry_Int_Tables_number 123
_symmetry_space_group_name_Hall '-P 4 2'
_cell_length_a 3.2909
_cell_length_b 3.2909
_cell_length_c 9.6047
_cell_angle_alpha 90.00
_cell_angle_beta 90.00
_cell_angle_gamma 90.00
loop_
_atom_site_label
_atom_site_type_symbol
_atom_site_fract_x
_atom_site_fract_y
_atom_site_fract_z
Ta1 Ta 0.0000 0.0000 0.0000
Ta2 Ta 0.0000 0.0000 0.3199
Mo1 Mo 0.5000 0.5000 0.1690
Au1 Au 0.5000 0.5000 0.5000
```

Formation energy in eV per atom: -0.116
Energy in eV for the cell shown: -61.2

Record 2
Crystalline Ac6Ru3Br2 at its relaxed geometry. Source: Alexandria via LeMat-Bulk, functional PBE.

```
data_Ac6Ru3Br2
_symmetry_space_group_name_H-M 'C 1 2/m 1'
_symmetry_Int_Tables_number 12
_cell_length_a 7.4677
_cell_length_b 12.9227
_cell_length_c 8.6712
_cell_angle_alpha 90.00
_cell_angle_beta 106.95
_cell_angle_gamma 90.00
loop_
_symmetry_equiv_pos_as_xyz
'x,y,z'
'-x,-y,-z'
'-x,y,-z'
'x,-y,z'
'x+1/2,y+1/2,z'
'-x+1/2,-y+1/2,-z'
'-x+1/2,y+1/2,-z'
'x+1/2,-y+1/2,z'
loop_
_atom_site_label
_atom_site_type_symbol
_atom_site_fract_x
_atom_site_fract_y
_atom_site_fract_z
Ac1 Ac 0.2295 0.1691 0.1923
Ac2 Ac 0.2360 0.5000 0.1891
Ru1 Ru 0.0000 0.0000 0.0000
Ru2 Ru 0.0000 0.3303 0.0000
Br1 Br 0.0000 0.1650 0.5000
```

Energy in eV for the cell shown: -125.2
Formation energy from raw total energies in meV/atom: -614

Record 3
Crystalline CeErRu4 at its relaxed geometry. Source: Alexandria via LeMat-Bulk, functional PBE.

```
data_CeErRu4
_symmetry_space_group_name_H-M 'F -4 3 m'
_symmetry_Int_Tables_number 216
_symmetry_space_group_name_Hall 'F -4 2 3'
_cell_length_a 7.5556
_cell_length_b 7.5556
_cell_length_c 7.5556
_cell_angle_alpha 90.00
_cell_angle_beta 90.00
_cell_angle_gamma 90.00
loop_
_atom_site_label
_atom_site_type_symbol
_atom_site_fract_x
_atom_site_fract_y
_atom_site_fract_z
Ce1 Ce 0.0000 0.0000 0.0000
Er1 Er 0.2500 0.2500 0.2500
Ru1 Ru 0.1249 0.1249 0.6249
```

Formation energy in eV per atom: -0.293
Energy in eV for the cell shown: -197.4

Record 4
Crystalline Sr2Zn3BiAu4 at its relaxed geometry. Source: Alexandria via LeMat-Bulk, functional PBE.

```
data_Sr2Zn3BiAu4
_symmetry_space_group_name_H-M 'P -4 m 2'
_symmetry_Int_Tables_number 115
_cell_length_a 4.5944
_cell_length_b 4.5944
_cell_length_c 11.2008
_cell_angle_alpha 90.00
_cell_angle_beta 90.00
_cell_angle_gamma 90.00
loop_
_symmetry_equiv_pos_as_xyz
'x,y,z'
'y,-x,-z'
'-x,-y,z'
'-y,x,-z'
'-x,y,z'
'-y,-x,-z'
'x,-y,z'
'y,x,-z'
loop_
_atom_site_label
_atom_site_type_symbol
_atom_site_fract_x
_atom_site_fract_y
_atom_site_fract_z
Sr1 Sr 0.0000 0.5000 0.2364
Zn1 Zn 0.0000 0.5000 0.8853
Zn2 Zn 0.5000 0.5000 0.5000
Bi1 Bi 0.0000 0.0000 0.5000
Au1 Au 0.0000 0.0000 0.0000
Au2 Au 0.0000 0.5000 0.6592
Au3 Au 0.5000 0.5000 0.0000
```

Formation energy in eV per atom: -0.485
Energy in eV for the cell shown: -29.0

Record 5
Crystalline LiAuSe2 at its relaxed geometry. Source: Alexandria via LeMat-Bulk, functional PBE.

```
data_LiAuSe2
_symmetry_space_group_name_H-M 'R -3 m'
_symmetry_Int_Tables_number 166
_symmetry_space_group_name_Hall '-R 3 2"'
_cell_length_a 5.0801
_cell_length_b 5.0801
_cell_length_c 15.3918
_cell_angle_alpha 90.00
_cell_angle_beta 90.00
_cell_angle_gamma 120.00
loop_
_atom_site_label
_atom_site_type_symbol
_atom_site_fract_x
_atom_site_fract_y
_atom_site_fract_z
Li1 Li 0.0000 0.0000 0.0000
Au1 Au 0.0000 0.0000 0.5000
Se1 Se 0.0000 0.0000 0.3428
```

Energy in eV for the cell shown: -39.2
Formation energy from raw total energies in meV/atom: -223

Record 6
Crystalline CaThAu3 at its relaxed geometry. Source: Alexandria via LeMat-Bulk, functional PBE.

```
data_CaThAu3
_symmetry_space_group_name_H-M 'C m c m'
_symmetry_Int_Tables_number 63
_symmetry_space_group_name_Hall '-C 2c 2'
_cell_length_a 3.5645
_cell_length_b 28.5009
_cell_length_c 4.7231
_cell_angle_alpha 90.00
_cell_angle_beta 90.00
_cell_angle_gamma 90.00
loop_
_atom_site_label
_atom_site_type_symbol
_atom_site_fract_x
_atom_site_fract_y
_atom_site_fract_z
Ca1 Ca 0.0000 0.2083 0.2500
Th1 Th 0.0000 0.0732 0.7500
Au1 Au 0.0000 0.3214 0.2500
Au2 Au 0.0000 0.3788 0.7500
Au3 Au 0.0000 0.4757 0.7500
```

Formation energy in eV per atom: -0.690
Energy in eV for the cell shown: -90.8

Record 7
Crystalline Ac2Pd7 at its relaxed geometry. Source: Alexandria via LeMat-Bulk, functional PBE.

```
data_Ac2Pd7
_symmetry_space_group_name_H-M 'R -3 m'
_symmetry_Int_Tables_number 166
_symmetry_space_group_name_Hall '-R 3 2"'
_cell_length_a 5.5161
_cell_length_b 5.5161
_cell_length_c 41.3400
_cell_angle_alpha 90.00
_cell_angle_beta 90.00
_cell_angle_gamma 120.00
loop_
_atom_site_label
_atom_site_type_symbol
_atom_site_fract_x
_atom_site_fract_y
_atom_site_fract_z
Ac1 Ac 0.0000 0.0000 0.0495
Ac2 Ac 0.0000 0.0000 0.1458
Pd1 Pd 0.0000 0.0000 0.2776
Pd2 Pd 0.0000 0.0000 0.3888
Pd3 Pd 0.0000 0.0000 0.5000
Pd4 Pd 0.0000 0.5000 0.0000
Pd5 Pd 0.0021 0.5010 0.8889
```

Formation energy in eV per atom: -0.680
Energy in eV for the cell shown: -304.1

Record 8
Crystalline ScAgI2 at its relaxed geometry. Source: Alexandria via LeMat-Bulk, functional PBE.

```
data_ScAgI2
_symmetry_space_group_name_H-M 'F m -3 m'
_symmetry_Int_Tables_number 225
_symmetry_space_group_name_Hall '-F 4 2 3'
_cell_length_a 7.4887
_cell_length_b 7.4887
_cell_length_c 7.4887
_cell_angle_alpha 90.00
_cell_angle_beta 90.00
_cell_angle_gamma 90.00
loop_
_atom_site_label
_atom_site_type_symbol
_atom_site_fract_x
_atom_site_fract_y
_atom_site_fract_z
Sc1 Sc 0.0000 0.0000 0.0000
Ag1 Ag 0.0000 0.0000 0.5000
I1 I 0.2500 0.2500 0.2500
```

Energy in eV for the cell shown: -52.3
Energy above the lowest structure with this stoichiometry in meV/atom: 0.0
Formation energy from raw total energies in meV/atom: -201

Record 9
Crystalline CaTlHCl2 at its relaxed geometry. Source: Alexandria via LeMat-Bulk, functional PBE.

```
data_CaTlHCl2
_symmetry_space_group_name_H-M 'P 4/m m m'
_symmetry_Int_Tables_number 123
_symmetry_space_group_name_Hall '-P 4 2'
_cell_length_a 5.4832
_cell_length_b 5.4832
_cell_length_c 4.3404
_cell_angle_alpha 90.00
_cell_angle_beta 90.00
_cell_angle_gamma 90.00
loop_
_atom_site_label
_atom_site_type_symbol
_atom_site_fract_x
_atom_site_fract_y
_atom_site_fract_z
Ca1 Ca 0.0000 0.0000 0.0000
Tl1 Tl 0.5000 0.5000 0.5000
H1 H 0.0000 0.0000 0.5000
Cl1 Cl 0.0000 0.5000 0.0000
```

Energy in eV for the cell shown: -17.6
Energy above the lowest structure with this stoichiometry in meV/atom: 0.0

Record 10
Crystalline InHgPd6 at its relaxed geometry. Source: Alexandria via LeMat-Bulk, functional PBE.

```
data_InHgPd6
_symmetry_space_group_name_H-M 'P -6 m 2'
_symmetry_Int_Tables_number 187
_symmetry_space_group_name_Hall 'P -6 2'
_cell_length_a 5.7272
_cell_length_b 5.7272
_cell_length_c 4.6687
_cell_angle_alpha 90.00
_cell_angle_beta 90.00
_cell_angle_gamma 120.00
loop_
_atom_site_label
_atom_site_type_symbol
_atom_site_fract_x
_atom_site_fract_y
_atom_site_fract_z
In1 In 0.0000 0.0000 0.0000
Hg1 Hg 0.6667 0.3333 0.5000
Pd1 Pd 0.0036 0.5018 0.0000
Pd2 Pd 0.1682 0.3363 0.5000
```

Formation energy in eV per atom: -0.266
Energy in eV for the cell shown: -36.3
Energy above the lowest structure with this stoichiometry in meV/atom: 0.0

Record 11
Crystalline NaYCdBr6 at its relaxed geometry. Source: Alexandria via LeMat-Bulk, functional PBE.

```
data_NaYCdBr6
_symmetry_space_group_name_H-M 'P -3 1 c'
_symmetry_Int_Tables_number 163
_symmetry_space_group_name_Hall '-P 3 2c'
_cell_length_a 7.1729
_cell_length_b 7.1729
_cell_length_c 13.4018
_cell_angle_alpha 90.00
_cell_angle_beta 90.00
_cell_angle_gamma 120.00
loop_
_atom_site_label
_atom_site_type_symbol
_atom_site_fract_x
_atom_site_fract_y
_atom_site_fract_z
Na1 Na 0.0000 0.0000 0.0000
Y1 Y 0.3333 0.6667 0.2500
Cd1 Cd 0.3333 0.6667 0.7500
Br1 Br 0.0002 0.3547 0.1300
```

Energy in eV for the cell shown: -63.6
Formation energy from raw total energies in meV/atom: -1454

Record 12
Crystalline PmNdSm2Tl2 at its relaxed geometry. Source: Alexandria via LeMat-Bulk, functional PBE.

```
data_PmNdSm2Tl2
_symmetry_space_group_name_H-M 'P m c 21'
_symmetry_Int_Tables_number 26
_cell_length_a 5.2493
_cell_length_b 10.2643
_cell_length_c 6.8952
_cell_angle_alpha 90.00
_cell_angle_beta 90.00
_cell_angle_gamma 90.00
loop_
_symmetry_equiv_pos_as_xyz
'x,y,z'
'-x,-y,z+1/2'
'-x,y,z'
'x,-y,z+1/2'
loop_
_atom_site_label
_atom_site_type_symbol
_atom_site_fract_x
_atom_site_fract_y
_atom_site_fract_z
Pm1 Pm 0.0000 0.1847 0.0000
Nd1 Nd 0.5000 0.0423 0.2716
Sm1 Sm 0.0000 0.4576 0.3627
Sm2 Sm 0.5000 0.3176 0.6375
Tl1 Tl 0.0000 0.1390 0.5291
Tl2 Tl 0.5000 0.3652 0.1082
```

Formation energy in eV per atom: -0.273
Energy in eV for the cell shown: -50.7

- Which formula does entry 11 have?
  NaYCdBr6